(1)
BaDyAl | GGA-PBE | relaxed

```
BaDyAl
1.0
5.215 0.000 0.000
2.607 4.512 0.166
2.607 1.177 8.912
Dy Al Ba
2 2 2
direct
0.862 0.862 0.414 Dy
0.138 0.138 0.586 Dy
0.449 0.449 0.653 Al
0.551 0.551 0.347 Al
0.288 0.288 0.135 Ba
0.712 0.712 0.865 Ba
```

As for the density of states at the Fermi level: 0.5880 states/eV per atom. The symmetry is R-3m. Its energy is -21.18 eV for the cell shown. The formation energy comes out at -0.32 eV/f.u.

=====

(2)
CsK2HoCl6 | GGA-PBE | relaxed

```
CsK2HoCl6
1.0
-5.720 5.319 -0.790
-7.499 -2.133 0.914
-3.994 2.509 6.800
Cs K Ho Cl
1 2 1 6
direct
0.808 0.808 0.575 Cs
0.528 0.528 0.417 K
0.013 0.013 0.962 K
0.325 0.325 0.026 Ho
0.553 0.238 0.228 Cl
0.238 0.981 0.228 Cl
0.981 0.553 0.228 Cl
0.385 0.678 0.783 Cl
0.678 0.153 0.783 Cl
0.153 0.386 0.783 Cl
```

As for the density of states at the Fermi level: 0.0000 states/eV per atom. The symmetry is R3. Its energy is -40.02 eV for the cell shown. The value obtained for the energy relative to the elements, uncorrected is -205.6 kJ/mol of atoms.

=====

(3)
NbAlAs2 | GGA-PBE | relaxed

```
NbAlAs2
1.0
-0.857 -1.081 -5.780
-1.390 -5.639 1.260
-6.551 -1.902 -1.727
Nb As Al
2 4 2
direct
0.000 0.000 0.000 Nb
0.750 0.250 0.500 Nb
0.614 0.125 0.250 As
0.136 0.625 0.250 As
0.375 0.386 0.750 As
0.875 0.864 0.750 As
0.500 0.500 0.000 Al
0.250 0.750 0.500 Al
```

As for the density of states at the Fermi level: 0.8845 states/eV per atom. The symmetry is I-42d. Its energy is -46.04 eV for the cell shown. The formation energy comes out at 0.09 eV/f.u.

=====

(4)
CsLiAgHg2 | GGA-PBE | relaxed

```
CsLiAgHg2
1.0
5.441 0.000 0.000
0.000 5.441 0.000
0.000 0.000 5.401
Cs Hg Ag Li
1 2 1 1
direct
0.500 0.500 0.500 Cs
0.000 0.500 0.000 Hg
0.500 0.000 0.000 Hg
0.000 0.000 0.500 Ag
0.000 0.000 0.000 Li
```

As for the density of states at the Fermi level: 0.3693 states/eV per atom. The symmetry is P4/mmm. Its energy is -6.68 eV for the cell shown. The formation energy comes out at -0.45 eV/f.u. The calculation puts the energy above the most stable polymorph in this dataset at 0 meV/atom.